Density functional theory data (PBE) for an optimized crystal structure of RbCdP2S.

The structure in CIF format:
```
data_RbCdP2S
_cell_length_a 5.6585
_cell_length_b 5.6585
_cell_length_c 5.6395
_cell_angle_alpha 90.00
_cell_angle_beta 90.00
_cell_angle_gamma 90.00
_symmetry_space_group_name_H-M 'P 1'
_symmetry_Int_Tables_number 1
_symmetry_space_group_name_Hall 'P 1'
loop_
_atom_site_label
_atom_site_type_symbol
_atom_site_fract_x
_atom_site_fract_y
_atom_site_fract_z
P1 P 0.0000 0.5000 0.0000
P2 P 0.5000 0.0000 0.0000
S1 S 0.0000 0.0000 0.5000
Rb1 Rb 0.0000 0.0000 0.0000
Cd1 Cd 0.5000 0.5000 0.5000
```

Summary:
Its space group is P4/mmm (123). As for the energy: -1.6678 eV per atom. As for the crystal system: tetragonal. As for the total magnetization: 0.2883 μB per atom. Its calculated density is 2684 kg/m³. The energy above the lowest structure with this stoichiometry is 1.184 eV/atom. For the formation energy from raw total energies, the calculation gives 1.698 eV/atom.